Entry 1:
! Cd2InHg (GGA-PBE, relaxed); values from VASP
&SYSTEM
  ibrav = 0, nat = 4, ntyp = 3
/
ATOMIC_SPECIES
Cd 112.41 Cd.upf
In 114.82 In.upf
Hg 200.59 Hg.upf
ATOMIC_POSITIONS angstrom
Cd 1.8442 1.8442 1.8442
Cd 5.5327 5.5327 5.5327
In 0.0000 0.0000 0.0000
Hg 3.6885 3.6885 3.6885
CELL_PARAMETERS angstrom
0.0000 3.6885 3.6885
3.6885 0.0000 3.6885
3.6885 3.6885 0.0000
! * relative energy among the computed polymorphs: 35 meV per atom
! * energy of formation: 54 meV per atom
! * space-group type: No. 225
! * calculated total energy: -1.164 eV/atom



Entry 2:
! La2MgNi3P4 (GGA-PBE, relaxed); values from VASP
&SYSTEM
  ibrav = 0, nat = 10, ntyp = 4
/
ATOMIC_SPECIES
La 138.91 La.upf
Mg 24.30 Mg.upf
Ni 58.69 Ni.upf
P 30.97 P.upf
ATOMIC_POSITIONS angstrom
La 0.0000 2.0725 2.2658
La 2.0725 0.0000 7.4126
Mg 0.0000 0.0000 4.8392
Ni 0.0000 2.0725 8.6780
Ni 2.0725 0.0000 1.0004
Ni 2.0725 2.0725 4.8392
P 0.0000 0.0000 0.0000
P 0.0000 2.0725 6.2766
P 2.0725 0.0000 3.4017
P 2.0725 2.0725 0.0000
CELL_PARAMETERS angstrom
4.1451 0.0000 0.0000
0.0000 4.1451 0.0000
0.0000 0.0000 9.6784
! * energy of formation: -962 meV per atom
! * space-group type: No. 115
! * calculated total energy: -6.006 eV/atom



Entry 3:
! HPbSeF2 (GGA-PBE, relaxed); values from VASP
&SYSTEM
  ibrav = 0, nat = 5, ntyp = 4
/
ATOMIC_SPECIES
H 1.01 H.upf
Pb 207.20 Pb.upf
Se 78.96 Se.upf
F 19.00 F.upf
ATOMIC_POSITIONS angstrom
H 0.0000 0.0000 0.0000
Pb 2.0632 2.0632 0.0000
Se 2.0632 2.0632 3.0694
F 0.0000 2.0632 3.0694
F 2.0632 0.0000 3.0694
CELL_PARAMETERS angstrom
4.1263 0.0000 0.0000
0.0000 4.1263 0.0000
0.0000 0.0000 6.1388
! * space-group type: No. 123
! * calculated total energy: -3.279 eV/atom



Entry 4:
! Tl2SnPdN (GGA-PBE, relaxed); values from VASP
&SYSTEM
  ibrav = 0, nat = 5, ntyp = 4
/
ATOMIC_SPECIES
Tl 204.38 Tl.upf
Sn 118.71 Sn.upf
Pd 106.42 Pd.upf
N 14.01 N.upf
ATOMIC_POSITIONS angstrom
Tl 0.0000 2.9532 0.0000
Tl 2.9532 0.0000 0.0000
Sn 0.0000 0.0000 0.0000
Pd 2.9532 2.9532 1.9932
N 0.0000 0.0000 1.9932
CELL_PARAMETERS angstrom
5.9065 0.0000 0.0000
0.0000 5.9065 0.0000
0.0000 0.0000 3.9863
! * space-group type: No. 123
! * calculated total energy: -3.539 eV/atom
! * formation energy without anion corrections: 0.911 eV/atom



Entry 5:
! CaNd2Y9 (GGA-PBE, relaxed); values from VASP
&SYSTEM
  ibrav = 0, nat = 12, ntyp = 3
/
ATOMIC_SPECIES
Ca 40.08 Ca.upf
Nd 144.24 Nd.upf
Y 88.91 Y.upf
ATOMIC_POSITIONS angstrom
Ca 0.0000 0.0000 0.0000
Nd 0.0000 0.0000 5.1126
Nd 0.0000 0.0000 10.2037
Y 0.0000 2.5600 2.6339
Y 0.0000 2.5600 7.6581
Y 0.0000 2.5600 12.6823
Y 2.5600 0.0000 2.6339
Y 2.5600 0.0000 7.6581
Y 2.5600 0.0000 12.6823
Y 2.5600 2.5600 0.0000
Y 2.5600 2.5600 5.1083
Y 2.5600 2.5600 10.2079
CELL_PARAMETERS angstrom
5.1200 0.0000 0.0000
0.0000 5.1200 0.0000
0.0000 0.0000 15.3162
! * energy of formation: 53 meV per atom
! * space-group type: No. 123
! * calculated total energy: -5.756 eV/atom



Entry 6:
! AcNd3Sn2 (GGA-PBE, relaxed); values from VASP
&SYSTEM
  ibrav = 0, nat = 12, ntyp = 3
/
ATOMIC_SPECIES
Ac 227.00 Ac.upf
Nd 144.24 Nd.upf
Sn 118.71 Sn.upf
ATOMIC_POSITIONS angstrom
Ac 1.6477 0.0000 1.2365
Ac 13.2023 0.0000 7.6931
Nd -1.7479 0.0000 6.1543
Nd 5.3576 0.0000 1.0089
Nd 4.5826 0.0000 4.6458
Nd 10.2674 0.0000 4.2838
Nd 9.4924 0.0000 7.9207
Nd 16.5979 0.0000 2.7753
Sn 1.6265 0.0000 6.3117
Sn 8.6544 0.0000 1.3104
Sn 6.1956 0.0000 7.6192
Sn 13.2235 0.0000 2.6179
CELL_PARAMETERS angstrom
9.4469 -2.4205 0.0000
9.4469 2.4205 0.0000
-4.0437 0.0000 8.9296
! * energy of formation: -516 meV per atom
! * space-group type: No. 12
! * calculated total energy: -4.919 eV/atom



Entry 7:
! Al2TlTe (GGA-PBE, relaxed); values from VASP
&SYSTEM
  ibrav = 0, nat = 4, ntyp = 3
/
ATOMIC_SPECIES
Al 26.98 Al.upf
Tl 204.38 Tl.upf
Te 127.60 Te.upf
ATOMIC_POSITIONS angstrom
Al 0.1290 0.0000 2.0374
Al 6.1491 0.0000 3.7673
Tl 3.1390 0.0000 2.9023
Te 5.2246 0.0000 0.0000
CELL_PARAMETERS angstrom
5.2246 -1.9866 0.0000
5.2246 1.9866 0.0000
-4.1712 0.0000 5.8047
! * relative energy among the computed polymorphs: 80 meV per atom
! * space-group type: No. 12
! * calculated total energy: -3.116 eV/atom
! * formation energy without anion corrections: 0.132 eV/atom



Entry 8:
! NaLi2Sc (GGA-PBE, relaxed); values from VASP
&SYSTEM
  ibrav = 0, nat = 4, ntyp = 3
/
ATOMIC_SPECIES
Na 22.99 Na.upf
Li 6.94 Li.upf
Sc 44.96 Sc.upf
ATOMIC_POSITIONS angstrom
Na 0.0000 0.0000 0.0000
Li 1.5598 1.5598 2.6397
Li 1.5598 1.5598 7.4266
Sc 0.0000 0.0000 5.0332
CELL_PARAMETERS angstrom
3.1196 0.0000 0.0000
0.0000 3.1196 0.0000
0.0000 0.0000 10.0663
! * relative energy among the computed polymorphs: 0 meV per atom
! * energy of formation: 168 meV per atom
! * space-group type: No. 123
! * calculated total energy: -2.701 eV/atom



Entry 9:
! PrGdSn2 (GGA-PBE, relaxed); values from VASP
&SYSTEM
  ibrav = 0, nat = 4, ntyp = 3
/
ATOMIC_SPECIES
Pr 140.91 Pr.upf
Gd 157.25 Gd.upf
Sn 118.71 Sn.upf
ATOMIC_POSITIONS angstrom
Pr 0.0000 0.0000 0.0000
Gd 2.4920 2.4920 0.0000
Sn 0.0000 2.4920 2.2677
Sn 2.4920 0.0000 2.2677
CELL_PARAMETERS angstrom
4.9840 0.0000 0.0000
0.0000 4.9840 0.0000
0.0000 0.0000 4.5354
! * energy of formation: -673 meV per atom
! * space-group type: No. 123
! * calculated total energy: -7.389 eV/atom



Entry 10:
! HfTa2Rh2 (GGA-PBE, relaxed); values from VASP
&SYSTEM
  ibrav = 0, nat = 10, ntyp = 3
/
ATOMIC_SPECIES
Hf 178.49 Hf.upf
Ta 180.95 Ta.upf
Rh 102.91 Rh.upf
ATOMIC_POSITIONS angstrom
Hf 0.0000 0.0000 0.0000
Hf 3.9024 3.9024 0.0000
Ta 1.1841 2.7183 0.0000
Ta 2.7183 6.6207 0.0000
Ta 5.0866 1.1841 0.0000
Ta 6.6207 5.0866 0.0000
Rh 1.1291 5.0315 1.4418
Rh 2.7734 1.1291 1.4418
Rh 5.0315 6.6758 1.4418
Rh 6.6758 2.7734 1.4418
CELL_PARAMETERS angstrom
7.8048 0.0000 0.0000
0.0000 7.8048 0.0000
0.0000 0.0000 2.8836
! * relative energy among the computed polymorphs: 87 meV per atom
! * energy of formation: -255 meV per atom
! * space-group type: No. 127
! * calculated total energy: -9.927 eV/atom



Entry 11:
! NdZn2CdPt2 (GGA-PBE, relaxed); values from VASP
&SYSTEM
  ibrav = 0, nat = 6, ntyp = 4
/
ATOMIC_SPECIES
Nd 144.24 Nd.upf
Zn 65.41 Zn.upf
Cd 112.41 Cd.upf
Pt 195.08 Pt.upf
ATOMIC_POSITIONS angstrom
Nd 0.0000 0.0000 0.0000
Zn 0.0000 2.5786 2.0294
Zn 2.2332 1.2893 4.7018
Cd 0.0000 0.0000 3.3656
Pt 0.0000 2.5786 4.8594
Pt 2.2332 1.2893 1.8718
CELL_PARAMETERS angstrom
4.4663 0.0000 0.0000
-2.2332 3.8680 0.0000
0.0000 0.0000 6.7312
! * energy of formation: -666 meV per atom
! * space-group type: No. 164
! * calculated total energy: -4.051 eV/atom



Entry 12:
! CsHgB3 (GGA-PBE, relaxed); values from VASP
&SYSTEM
  ibrav = 0, nat = 5, ntyp = 3
/
ATOMIC_SPECIES
Cs 132.91 Cs.upf
Hg 200.59 Hg.upf
B 10.81 B.upf
ATOMIC_POSITIONS angstrom
Cs 0.0000 0.0000 0.0000
Hg 2.5759 2.5759 2.5759
B 0.0000 0.0000 2.5759
B 0.0000 2.5759 0.0000
B 2.5759 0.0000 0.0000
CELL_PARAMETERS angstrom
5.1518 0.0000 0.0000
0.0000 5.1518 0.0000
0.0000 0.0000 5.1518
! * energy of formation: 3206 meV per atom
! * space-group type: No. 221
! * calculated total energy: -1.032 eV/atom



Entry 13:
! LaPmPr2As4 (GGA-PBE, relaxed); values from VASP
&SYSTEM
  ibrav = 0, nat = 16, ntyp = 4
/
ATOMIC_SPECIES
La 138.91 La.upf
Pm 145.00 Pm.upf
Pr 140.91 Pr.upf
As 74.92 As.upf
ATOMIC_POSITIONS angstrom
La -2.1542 2.1545 3.0461
La 2.1542 2.1545 3.0461
Pm 0.0000 0.0000 0.0000
Pm 0.0000 4.3090 0.0000
Pr 2.1542 2.1545 -3.0461
Pr 2.1542 -2.1545 3.0461
Pr 4.3083 0.0000 0.0000
Pr 0.0000 0.0000 6.0921
As 4.3083 4.2969 -3.0629
As 2.1309 2.1545 -0.0078
As 2.1774 -2.1545 6.0843
As 4.3083 -0.0121 3.0629
As 0.0000 4.3211 3.0292
As 2.1309 6.4635 0.0078
As 2.1774 2.1545 6.0999
As 0.0000 0.0121 9.1551
CELL_PARAMETERS angstrom
-4.3083 4.3090 6.0921
4.3083 -4.3090 6.0921
4.3083 4.3090 -6.0921
! * energy of formation: -1523 meV per atom
! * space-group type: No. 74
! * calculated total energy: -6.252 eV/atom



Entry 14:
! Rb2LiIrO4 (GGA-PBE, relaxed); values from VASP
&SYSTEM
  ibrav = 0, nat = 16, ntyp = 4
/
ATOMIC_SPECIES
Rb 85.47 Rb.upf
Li 6.94 Li.upf
Ir 192.22 Ir.upf
O 16.00 O.upf
ATOMIC_POSITIONS angstrom
Rb 2.0097 4.9675 0.8516
Rb 3.3495 8.2792 5.5358
Rb 2.0097 4.9675 13.2008
Rb 3.3495 8.2792 17.8850
Li 0.6699 1.6558 2.3421
Li 4.6893 11.5909 16.3945
Ir 2.0097 4.9675 7.0262
Ir 3.3495 8.2792 11.7104
O 3.3075 3.6697 6.6149
O 3.3075 6.2653 7.4376
O 4.6473 6.9814 12.1217
O 4.6473 9.5770 11.2990
O 0.7118 3.6697 7.4376
O 0.7118 6.2653 6.6149
O 2.0516 6.9814 11.2990
O 2.0516 9.5770 12.1217
CELL_PARAMETERS angstrom
0.0000 6.6234 9.3683
2.6796 0.0000 9.3683
2.6796 6.6234 0.0000
! * space-group type: No. 70
! * calculated total energy: -5.221 eV/atom
! * formation energy without anion corrections: -1.153 eV/atom



Entry 15:
! Ca2NiCl (GGA-PBE, relaxed); values from VASP
&SYSTEM
  ibrav = 0, nat = 4, ntyp = 3
/
ATOMIC_SPECIES
Ca 40.08 Ca.upf
Ni 58.69 Ni.upf
Cl 35.45 Cl.upf
ATOMIC_POSITIONS angstrom
Ca 0.0000 0.0000 0.0000
Ca 0.0000 0.0000 4.2661
Ni 0.0000 0.0000 13.3866
Cl 0.0000 0.0000 17.1691
CELL_PARAMETERS angstrom
1.9538 1.1280 7.4998
-1.9538 1.1280 7.4998
0.0000 -2.2560 7.4998
! * relative energy among the computed polymorphs: 19 meV per atom
! * space-group type: No. 160
! * calculated total energy: -3.715 eV/atom
! * formation energy without anion corrections: -0.808 eV/atom



Entry 16:
! CsDy2OsO8 (GGA-PBE, relaxed); values from VASP
&SYSTEM
  ibrav = 0, nat = 12, ntyp = 4
/
ATOMIC_SPECIES
Cs 132.91 Cs.upf
Dy 162.50 Dy.upf
Os 190.23 Os.upf
O 16.00 O.upf
ATOMIC_POSITIONS angstrom
Cs 0.0000 0.0000 0.0000
Dy 3.4817 0.0000 2.2239
Dy 3.4664 0.0000 5.5816
Os -0.0135 0.0000 3.9027
O 3.4703 2.2125 2.5739
O 3.4779 2.2125 5.2315
O 1.9630 0.0000 3.8969
O 2.7049 0.0000 7.8023
O 4.2433 0.0000 0.0032
O 4.9851 0.0000 3.9086
O 3.4703 -2.2125 2.5739
O 3.4779 -2.2125 5.2315
CELL_PARAMETERS angstrom
3.4876 -3.5377 0.0000
3.4876 3.5377 0.0000
-0.0271 0.0000 7.8055
! * space-group type: No. 12
! * calculated total energy: -7.038 eV/atom
! * formation energy without anion corrections: -1.958 eV/atom



Entry 17:
! PmGdTeI (GGA-PBE, relaxed); values from VASP
&SYSTEM
  ibrav = 0, nat = 4, ntyp = 4
/
ATOMIC_SPECIES
Pm 145.00 Pm.upf
Gd 157.25 Gd.upf
Te 127.60 Te.upf
I 126.90 I.upf
ATOMIC_POSITIONS angstrom
Pm 0.0000 0.0000 0.0000
Gd 3.8385 3.8385 3.8385
Te 5.7578 5.7578 5.7578
I 1.9193 1.9193 1.9193
CELL_PARAMETERS angstrom
0.0000 3.8385 3.8385
3.8385 0.0000 3.8385
3.8385 3.8385 0.0000
! * space-group type: No. 216
! * calculated total energy: -6.939 eV/atom
! * formation energy without anion corrections: -1.058 eV/atom



Entry 18:
! Y2TiS (GGA-PBE, relaxed); values from VASP
&SYSTEM
  ibrav = 0, nat = 8, ntyp = 3
/
ATOMIC_SPECIES
Y 88.91 Y.upf
Ti 47.87 Ti.upf
S 32.06 S.upf
ATOMIC_POSITIONS angstrom
Y 1.0876 2.3913 0.5776
Y -2.3913 3.6950 1.7328
Y -1.0876 7.1739 0.5776
Y 2.3913 5.8702 1.7328
Ti 4.7826 0.0000 1.1552
Ti 0.0000 0.0000 2.3104
S 0.0000 0.0000 0.0000
S 0.0000 4.7826 1.1552
CELL_PARAMETERS angstrom
-4.7826 4.7826 2.3104
4.7826 -4.7826 2.3104
4.7826 4.7826 -2.3104
! * space-group type: No. 122
! * calculated total energy: -6.708 eV/atom
! * formation energy without anion corrections: -0.471 eV/atom



Entry 19:
! Tm5Sn2Sb2 (GGA-PBE, relaxed); values from VASP
&SYSTEM
  ibrav = 0, nat = 18, ntyp = 3
/
ATOMIC_SPECIES
Tm 168.93 Tm.upf
Sn 118.71 Sn.upf
Sb 121.76 Sb.upf
ATOMIC_POSITIONS angstrom
Tm 0.0000 0.0000 0.0000
Tm 5.5536 2.6946 5.3441
Tm 5.5536 1.3226 1.3121
Tm 9.6523 2.6946 5.3441
Tm 9.6523 1.3226 1.3121
Tm 7.6030 0.0000 4.0319
Tm 5.5536 -1.3226 6.7518
Tm 5.5536 -2.6946 2.7198
Tm 9.6523 -1.3226 6.7518
Tm 9.6523 -2.6946 2.7198
Sn 7.6030 2.9089 2.9218
Sn 7.6030 1.1083 6.9537
Sn 7.6030 -1.1083 1.1102
Sn 7.6030 -2.9089 5.1421
Sb 3.0822 0.0000 0.0000
Sb 4.5207 0.0000 4.0319
Sb 10.6852 0.0000 4.0319
Sb 12.1237 0.0000 0.0000
CELL_PARAMETERS angstrom
7.6030 -4.0172 0.0000
7.6030 4.0172 0.0000
0.0000 0.0000 8.0639
! * space-group type: No. 64
! * calculated total energy: -5.145 eV/atom
! * formation energy without anion corrections: -0.856 eV/atom



Entry 20:
! TcHgTeI2 (GGA-PBE, relaxed); values from VASP
&SYSTEM
  ibrav = 0, nat = 5, ntyp = 4
/
ATOMIC_SPECIES
Tc 98.00 Tc.upf
Hg 200.59 Hg.upf
Te 127.60 Te.upf
I 126.90 I.upf
ATOMIC_POSITIONS angstrom
Tc 0.0000 0.0000 0.0000
Hg 2.8901 2.8901 2.8902
Te 2.8901 2.8901 0.0000
I 0.0000 2.8901 2.8902
I 2.8901 0.0000 2.8902
CELL_PARAMETERS angstrom
5.7803 0.0000 0.0000
0.0000 5.7803 0.0000
0.0000 0.0000 5.7805
! * relative energy among the computed polymorphs: 787 meV per atom
! * space-group type: No. 123
! * calculated total energy: -2.280 eV/atom
! * formation energy without anion corrections: 1.102 eV/atom